Entry 1:
# SmCu2Sn2 (SCAN, single point on PBEsol structure)
# * DFT total energy: -29.8002 eV per atom
# * crystal system: tetragonal
# * ΔE_f: -2.3 eV/f.u.
data_SmCu2Sn2
_chemical_formula_sum 'Sm2 Cu4 Sn4'
_cell_length_a 4.359
_cell_length_b 4.359
_cell_length_c 10.530
_cell_angle_alpha 90.00
_cell_angle_beta 90.00
_cell_angle_gamma 90.00
_space_group_name_H-M_alt 'P 4/n m m'
_space_group_IT_number 129
loop_
_space_group_symop_operation_xyz
'x,y,z'
'-x,-y,-z'
'-y+1/2,x,z'
'y+1/2,-x,-z'
'-x+1/2,-y+1/2,z'
'x+1/2,y+1/2,-z'
'y,-x+1/2,z'
'-y,x+1/2,-z'
'x+1/2,-y,-z'
'-x+1/2,y,z'
'-y,-x,-z'
'y,x,z'
'-x,y+1/2,-z'
'x,-y+1/2,z'
'y+1/2,x+1/2,-z'
'-y+1/2,-x+1/2,z'
loop_
_atom_site_label
_atom_site_type_symbol
_atom_site_fract_x
_atom_site_fract_y
_atom_site_fract_z
Sm1 Sm 0.250 0.250 0.240
Cu1 Cu 0.250 0.250 0.638
Cu2 Cu 0.250 0.750 0.000
Sn1 Sn 0.250 0.250 0.872
Sn2 Sn 0.250 0.750 0.500

Entry 2:
# SmCu3Te3 (SCAN, single point on PBEsol structure)
# * DFT total energy: -29.4011 eV per atom
# * raw formation energy: -573 meV per atom
# * crystal system: trigonal
data_SmCu3Te3
_chemical_formula_sum 'Sm6 Cu18 Te18'
_cell_length_a 7.3500
_cell_length_b 7.3500
_cell_length_c 20.7860
_cell_angle_alpha 90.00
_cell_angle_beta 90.00
_cell_angle_gamma 120.00
_space_group_name_H-M_alt 'R -3'
_space_group_IT_number 148
_space_group_name_Hall '-R 3'
loop_
_atom_site_label
_atom_site_type_symbol
_atom_site_fract_x
_atom_site_fract_y
_atom_site_fract_z
Sm1 Sm 0.0000 0.0000 0.1645
Cu1 Cu 0.0150 0.6443 0.6243
Te1 Te 0.0054 0.6935 0.4163

Entry 3:
# Cu6Sn5 (SCAN, single point on PBEsol structure)
# * DFT total energy: -24.6139 eV per atom
# * crystal system: monoclinic
# * ΔE_f: 0.0 eV/f.u.
data_Cu6Sn5
_chemical_formula_sum 'Cu24 Sn20'
_cell_length_a 10.878
_cell_length_b 7.249
_cell_length_c 9.776
_cell_angle_alpha 90.00
_cell_angle_beta 98.83
_cell_angle_gamma 90.00
_space_group_name_H-M_alt 'C 1 2/c 1'
_space_group_IT_number 15
_space_group_name_Hall '-C 2yc'
loop_
_atom_site_label
_atom_site_type_symbol
_atom_site_fract_x
_atom_site_fract_y
_atom_site_fract_z
Cu1 Cu 0.000 0.000 0.000
Cu2 Cu 0.000 0.161 0.250
Cu3 Cu 0.101 0.472 0.203
Cu4 Cu 0.194 0.004 0.891
Sn1 Sn 0.000 0.200 0.750
Sn2 Sn 0.108 0.337 0.471
Sn3 Sn 0.214 0.155 0.143

Entry 4:
# SrCuSn2 (SCAN, single point on PBEsol structure)
# * DFT total energy: -27.8249 eV per atom
# * crystal system: orthorhombic
# * ΔE_f: -2.0 eV/f.u.
data_SrCuSn2
_chemical_formula_sum 'Sr4 Cu4 Sn8'
_cell_length_a 4.530
_cell_length_b 19.302
_cell_length_c 4.515
_cell_angle_alpha 90.00
_cell_angle_beta 90.00
_cell_angle_gamma 90.00
_space_group_name_H-M_alt 'C m c m'
_space_group_IT_number 63
_space_group_name_Hall '-C 2c 2'
loop_
_atom_site_label
_atom_site_type_symbol
_atom_site_fract_x
_atom_site_fract_y
_atom_site_fract_z
Sr1 Sr 0.000 0.108 0.250
Cu1 Cu 0.000 0.325 0.250
Sn1 Sn 0.000 0.250 0.750
Sn2 Sn 0.000 0.457 0.250